[1]
VASP calculation (GGA-PBE) on SrCaFe2 after structural relaxation.

Values from the calculation:
Calculated formation energy   0.389 eV/atom
N(E_F)   0.9574 states/eV per atom
Raw total energy   -19.1 eV for the cell shown
Crystal system   tetragonal

Lattice parameters (Å, degrees): 3.4004 3.4004 8.5752 90.00 90.00 90.00
Fractional positions:
Ca (0.5000, 0.5000, 0.8327)
Sr (0.0000, 0.0000, 0.4283)
Fe (0.5000, 0.5000, 0.1662)
Fe (0.0000, 0.0000, 0.0729)

=====

[2]
VASP calculation (GGA-PBE) on In3SiTc after structural relaxation.

Values from the calculation:
Formation energy from raw total energies   26.60 kcal/mol of atoms
N(E_F)   0.9652 states/eV per atom
Raw total energy   -18.2 eV for the cell shown
Crystal system   cubic

Lattice parameters (Å, degrees): 5.1362 5.1362 5.1362 90.00 90.00 90.00
Fractional positions:
In (0.5000, 0.0000, 0.0000)
In (0.0000, 0.5000, 0.0000)
Si (0.0000, 0.0000, 0.0000)
Tc (0.5000, 0.5000, 0.5000)
In (0.0000, 0.0000, 0.5000)

=====

[3]
VASP calculation (GGA-PBE) on RbPtCl after structural relaxation.

Values from the calculation:
Formation energy from raw total energies   -5.52 kcal/mol of atoms
N(E_F)   0.0430 states/eV per atom
Raw total energy   -38.3 eV for the cell shown
Crystal system   orthorhombic

Lattice parameters (Å, degrees): 10.5157 5.9064 5.3760 90.00 90.00 90.00
Fractional positions:
Cl (0.5000, 0.0000, 0.5000)
Pt (0.9999, 0.7500, 0.6294)
Pt (0.4999, 0.7500, 0.8706)
Rb (0.7500, 0.2500, 0.7497)
Rb (0.2500, 0.7500, 0.2503)
Rb (0.2500, 0.2500, 0.7503)
Cl (0.5000, 0.5000, 0.5000)
Pt (0.0001, 0.2500, 0.3706)
Pt (0.5001, 0.2500, 0.1294)
Rb (0.7500, 0.7500, 0.2497)
Cl (0.0000, 0.0000, 0.0000)
Cl (0.0000, 0.5000, 0.0000)

=====

[4]
VASP calculation (GGA-PBE) on RuPb2Se after structural relaxation.

Values from the calculation:
Formation energy from raw total energies   11.32 kcal/mol of atoms
N(E_F)   0.8517 states/eV per atom
Raw total energy   -18.2 eV for the cell shown
Crystal system   tetragonal

Lattice parameters (Å, degrees): 5.4689 5.4689 5.4689 131.17 131.17 71.55
Fractional positions:
Ru (0.2500, 0.7500, 0.5000)
Pb (0.5000, 0.5000, 0.0000)
Se (0.7500, 0.2500, 0.5000)
Pb (0.0000, 0.0000, 0.0000)

=====

[5]
VASP calculation (GGA-PBE) on Tl2AsOs after structural relaxation.

Values from the calculation:
Calculated formation energy   0.965 eV/atom
N(E_F)   0.8142 states/eV per atom
Raw total energy   -16.7 eV for the cell shown
Crystal system   orthorhombic

Lattice parameters (Å, degrees): 3.4198 5.2270 4.6834 90.00 90.00 90.00
Fractional positions:
Os (0.0000, 0.5000, 0.5000)
Tl (0.0000, 0.0000, 0.0000)
As (0.5000, 0.0000, 0.5000)
Tl (0.5000, 0.5000, 0.0000)

=====

[6]
VASP calculation (GGA-PBE) on Sc2CdGa after structural relaxation.

Values from the calculation:
Calculated formation energy   0.144 eV/atom
N(E_F)   0.9119 states/eV per atom
Raw total energy   -32.1 eV for the cell shown
Crystal system   tetragonal

Lattice parameters (Å, degrees): 4.3604 4.3604 10.4704 77.98 77.98 90.00
Fractional positions:
Ga (0.5000, 0.5000, 0.0000)
Ga (0.2500, 0.7500, 0.5000)
Sc (0.6106, 0.1250, 0.2500)
Sc (0.3750, 0.3894, 0.7500)
Cd (0.7500, 0.2500, 0.5000)
Sc (0.1394, 0.6250, 0.2500)
Cd (0.0000, 0.0000, 0.0000)
Sc (0.8750, 0.8606, 0.7500)